(1)
{
  "formula": "Bi2IrAu",
  "functional": "GGA-PBE",
  "state": "optimized geometry",
  "energy_ev_per_atom": -4.361,
  "sg": "R-3m, No. 166",
  "formation_energy_ev_per_fu": 2.5,
  "dos_ef_per_ev_fu": 2.80,
  "lattice": [[1.582, 0.913, 10.876], [-1.582, 0.913, 10.876], [0.000, -1.826, 10.876]],
  "species": ["Bi", "Bi", "Ir", "Au"],
  "fractional_positions": [[0.083, 0.083, 0.083], [0.917, 0.917, 0.917], [0.000, 0.000, 0.000], [0.500, 0.500, 0.500]]
}

---

(2)
{
  "formula": "Ti2V4Pb",
  "functional": "GGA-PBE",
  "state": "optimized geometry",
  "energy_ev_per_atom": -6.480,
  "sg": "I4/mmm, No. 139",
  "formation_energy_ev_per_fu": 10.6,
  "dos_ef_per_ev_fu": 11.98,
  "lattice": [[-2.439, 2.439, 6.727], [2.439, -2.439, 6.727], [2.439, 2.439, -6.727]],
  "species": ["Ti", "Ti", "V", "V", "V", "V", "Pb"],
  "fractional_positions": [[0.099, 0.099, 0.000], [0.901, 0.901, 0.000], [0.000, 0.500, 0.500], [0.297, 0.297, 0.000], [0.500, 0.000, 0.500], [0.703, 0.703, 0.000], [0.500, 0.500, 0.000]]
}